Material: YIn2Te
Method: DFT, PBE-GGA
State: optimized geometry

Lattice parameters (Å, degrees): 4.5768 4.5768 5.1193 90.00 90.00 90.00
Sites, in units of the cell vectors:
Y 0.0000 0.5000 0.5000
In 0.5000 0.5000 0.0000
In 0.0000 0.0000 0.0000
Te 0.5000 0.0000 0.5000

Results
The space-group type is P4/mmm (123). Its energy is -4.227 eV per atom.